Below is a relaxed SrAl2 crystal, with properties calculated at the GGA-PBE level.

Geometry as extended XYZ:
```
6
Lattice="5.6132 -2.3933 0.0000 5.6132 2.3933 0.0000 -5.5204 0.0000 5.6302" Properties=species:S:1:pos:R:3 pbc="T T T"
Sr -1.0991 0.0000 1.6865
Sr 6.8051 0.0000 3.9437
Al 2.3004 0.0000 1.5364
Al -1.1946 0.0000 5.0969
Al 6.9006 0.0000 0.5333
Al 3.4055 0.0000 4.0938
```

Output
SG = C2/m
formation enthalpy at 0 K = -0.79 eV per formula unit
Fermi-level density of states = 0.27 states/eV/atom